No. 1
# CrCdRh2 (SCAN, single point on PBEsol structure)
data_CrCdRh2
_cell_length_a 3.1768
_cell_length_b 3.1768
_cell_length_c 5.8776
_cell_angle_alpha 90.00
_cell_angle_beta 90.00
_cell_angle_gamma 90.00
_space_group_name_H-M_alt 'P 4 m m'
_space_group_IT_number 99
_space_group_name_Hall 'P 4 -2'
loop_
_atom_site_label
_atom_site_type_symbol
_atom_site_fract_x
_atom_site_fract_y
_atom_site_fract_z
_atom_site_occupancy
Cr1 Cr 0.0000 0.0000 0.0000 1
Cd1 Cd 0.5000 0.5000 0.7052 1
Rh1 Rh 0.0000 0.0000 0.4431 1
Rh2 Rh 0.5000 0.5000 0.1817 1
# VASP energy (eV per atom): -28.98
# Total magnetic moment (μB per formula unit): 3.65
# Calculated density (Mg/m³): 10.36
# Energy relative to the elements (eV per formula unit): 0.434

=====

No. 2
# CrCd2Rh (SCAN, single point on PBEsol structure)
data_CrCd2Rh
_cell_length_a 4.0203
_cell_length_b 4.0203
_cell_length_c 8.0744
_cell_angle_alpha 90.00
_cell_angle_beta 90.00
_cell_angle_gamma 90.00
_space_group_name_H-M_alt 'I 4/m m m'
_space_group_IT_number 139
_space_group_name_Hall '-I 4 2'
loop_
_atom_site_label
_atom_site_type_symbol
_atom_site_fract_x
_atom_site_fract_y
_atom_site_fract_z
_atom_site_occupancy
Cr1 Cr 0.0000 0.0000 0.0000 1
Cd1 Cd 0.0000 0.5000 0.2500 1
Rh1 Rh 0.0000 0.0000 0.5000 1
# VASP energy (eV per atom): -28.29
# Total magnetic moment (μB per formula unit): 4.12
# Calculated density (Mg/m³): 9.66
# Energy relative to the elements (eV per formula unit): -0.164

=====

No. 3
# CrCdRu2 (SCAN, single point on PBEsol structure)
data_CrCdRu2
_cell_length_a 2.7047
_cell_length_b 2.7047
_cell_length_c 26.7977
_cell_angle_alpha 90.00
_cell_angle_beta 90.00
_cell_angle_gamma 120.00
_space_group_name_H-M_alt 'R 3 m'
_space_group_IT_number 160
_space_group_name_Hall 'R 3 -2"'
loop_
_atom_site_label
_atom_site_type_symbol
_atom_site_fract_x
_atom_site_fract_y
_atom_site_fract_z
_atom_site_occupancy
Cr1 Cr 0.0000 0.0000 0.0000 1
Cd1 Cd 0.0000 0.0000 0.2439 1
Ru1 Ru 0.0000 0.0000 0.4870 1
Ru2 Ru 0.0000 0.0000 0.7405 1
# VASP energy (eV per atom): -29.22
# Total magnetic moment (μB per formula unit): 0.01
# Calculated density (Mg/m³): 10.76
# Energy relative to the elements (eV per formula unit): 1.568

=====

No. 4
# CrCdRu2 (SCAN, single point on PBEsol structure)
data_CrCdRu2
_cell_length_a 2.7169
_cell_length_b 3.8047
_cell_length_c 5.5922
_cell_angle_alpha 90.00
_cell_angle_beta 90.00
_cell_angle_gamma 90.00
_space_group_name_H-M_alt 'P m m 2'
_space_group_IT_number 25
_space_group_name_Hall 'P 2 -2'
loop_
_atom_site_label
_atom_site_type_symbol
_atom_site_fract_x
_atom_site_fract_y
_atom_site_fract_z
_atom_site_occupancy
Cr1 Cr 0.0000 0.0000 0.0000 1
Cd1 Cd 0.5000 0.5000 0.6934 1
Ru1 Ru 0.0000 0.0000 0.4114 1
Ru2 Ru 0.5000 0.5000 0.1784 1
# VASP energy (eV per atom): -29.27
# Total magnetic moment (μB per formula unit): 1.77
# Calculated density (Mg/m³): 10.53
# Energy relative to the elements (eV per formula unit): 1.352

=====

No. 5
# CrCdRu2 (SCAN, single point on PBEsol structure)
data_CrCdRu2
_cell_length_a 3.0041
_cell_length_b 4.3994
_cell_length_c 8.6751
_cell_angle_alpha 90.00
_cell_angle_beta 90.00
_cell_angle_gamma 90.00
_space_group_name_H-M_alt 'I m m 2'
_space_group_IT_number 44
_space_group_name_Hall 'I 2 -2'
loop_
_atom_site_label
_atom_site_type_symbol
_atom_site_fract_x
_atom_site_fract_y
_atom_site_fract_z
_atom_site_occupancy
Cr1 Cr 0.0000 0.0000 0.0000 1
Cd1 Cd 0.0000 0.5000 0.2384 1
Ru1 Ru 0.0000 0.0000 0.4622 1
Ru2 Ru 0.0000 0.5000 0.7012 1
# VASP energy (eV per atom): -29.19
# Total magnetic moment (μB per formula unit): 0.63
# Calculated density (Mg/m³): 10.62
# Energy relative to the elements (eV per formula unit): 1.692

=====

No. 6
# Cr3CdS (SCAN, single point on PBEsol structure)
data_Cr3CdS
_cell_length_a 4.9583
_cell_length_b 4.9583
_cell_length_c 4.9583
_cell_angle_alpha 90.00
_cell_angle_beta 90.00
_cell_angle_gamma 90.00
_space_group_name_H-M_alt 'P m -3 m'
_space_group_IT_number 221
_space_group_name_Hall '-P 4 2 3'
loop_
_atom_site_label
_atom_site_type_symbol
_atom_site_fract_x
_atom_site_fract_y
_atom_site_fract_z
_atom_site_occupancy
Cr1 Cr 0.0000 0.0000 0.5000 1
Cd1 Cd 0.0000 0.0000 0.0000 1
S1 S 0.5000 0.5000 0.5000 1
# VASP energy (eV per atom): -17.79
# Formation energy without anion corrections (meV per atom): 1252
# Total magnetic moment (μB per formula unit): 13.59
# Calculated density (Mg/m³): 4.09